[1]
Mg2TcTeS (GGA-PBE, optimized geometry); density of states at the Fermi level = 3.11 states/eV/f.u.; E_form (uncorrected) = 0.558 eV/atom; E = -18.0 eV for the cell shown; spin magnetization = 2.984 μB/f.u.; ρ = 4.33 g cm⁻³
1.0
4.673 0.000 0.000
0.000 5.383 0.000
0.000 0.000 4.673
Mg S Te Tc
2 1 1 1
direct
0.000 0.000 0.500
0.500 0.000 0.000
0.000 0.000 0.000
0.000 0.500 0.000
0.500 0.500 0.500


[2]
MgTe4S2 (GGA-PBE, optimized geometry); density of states at the Fermi level = 4.60 states/eV/f.u.; E_form (uncorrected) = 0.200 eV/atom; E = -21.0 eV for the cell shown; spin magnetization = 0.000 μB/f.u.; ρ = 4.36 g cm⁻³
1.0
-1.105 -0.459 -5.408
-5.220 -1.424 1.187
-5.158 6.211 -2.310
S Te Mg
2 4 1
direct
0.598 0.598 0.804
0.402 0.402 0.196
0.754 0.754 0.493
0.246 0.246 0.507
0.000 0.500 0.000
0.500 0.000 0.000
0.000 0.000 0.000


[3]
Mg4Te3S (GGA-PBE, optimized geometry); density of states at the Fermi level = 0.00 states/eV/f.u.; E_form (uncorrected) = -0.999 eV/atom; E = -55.9 eV for the cell shown; spin magnetization = 0.000 μB/f.u.; ρ = 3.41 g cm⁻³; energy above the most stable polymorph in this dataset = 0 meV/atom
1.0
7.237 0.000 0.000
0.000 7.746 0.000
0.000 0.000 8.906
Mg Te S
8 6 2
direct
0.115 0.868 0.000
0.660 0.173 0.000
0.114 0.322 0.231
0.614 0.678 0.269
0.160 0.827 0.500
0.615 0.132 0.500
0.614 0.678 0.731
0.114 0.322 0.769
0.504 0.842 0.000
0.002 0.670 0.248
0.502 0.330 0.252
0.004 0.158 0.500
0.502 0.330 0.748
0.002 0.670 0.752
0.004 0.172 0.000
0.504 0.828 0.500


[4]
Mg5Te4S (GGA-PBE, optimized geometry); density of states at the Fermi level = 0.00 states/eV/f.u.; E_form (uncorrected) = -0.950 eV/atom; E = -68.3 eV for the cell shown; spin magnetization = 0.000 μB/f.u.; ρ = 3.45 g cm⁻³
1.0
-3.655 -0.960 2.434
0.867 -2.309 -3.758
19.275 -24.279 19.366
Mg Te S
10 8 2
direct
0.333 0.667 0.041
0.333 0.667 0.227
0.333 0.667 0.413
0.333 0.667 0.622
0.333 0.667 0.832
0.667 0.333 0.123
0.667 0.333 0.309
0.667 0.333 0.518
0.667 0.333 0.727
0.667 0.333 0.936
0.333 0.667 0.490
0.333 0.667 0.700
0.333 0.667 0.909
0.667 0.333 0.014
0.667 0.333 0.200
0.667 0.333 0.386
0.667 0.333 0.595
0.667 0.333 0.804
0.333 0.667 0.108
0.333 0.667 0.294


[5]
Mg4Te3S (GGA-PBE, optimized geometry); density of states at the Fermi level = 0.00 states/eV/f.u.; E_form (uncorrected) = -0.984 eV/atom; E = -27.8 eV for the cell shown; spin magnetization = 0.000 μB/f.u.; ρ = 3.41 g cm⁻³; energy above the most stable polymorph in this dataset = 15 meV/atom
1.0
4.452 0.000 0.000
0.000 6.245 0.000
0.000 0.000 8.972
Mg Te S
4 3 1
direct
0.000 0.982 0.726
0.500 0.485 0.000
0.000 0.982 0.274
0.500 0.546 0.500
0.500 0.251 0.736
0.000 0.755 0.000
0.500 0.251 0.264
0.000 0.748 0.500


[6]
Mg2TeS4 (GGA-PBE, optimized geometry); E_form (uncorrected) = -0.732 eV/atom; E = -55.9 eV for the cell shown; spin magnetization = 0.000 μB/f.u.; ρ = 3.30 g cm⁻³
1.0
-6.480 -2.633 1.782
4.681 -4.524 -3.119
3.232 1.878 6.637
Mg Te S
4 2 8
direct
0.532 0.230 0.512
0.771 0.968 0.988
0.968 0.771 0.488
0.230 0.532 0.012
0.281 0.531 0.500
0.531 0.281 0.000
0.788 0.261 0.836
0.261 0.788 0.336
0.295 0.789 0.825
0.789 0.295 0.325
0.221 0.215 0.676
0.676 0.703 0.165
0.703 0.676 0.665
0.215 0.221 0.176


Repeat the fifth record exactly.
Mg4Te3S (GGA-PBE, optimized geometry); density of states at the Fermi level = 0.00 states/eV/f.u.; E_form (uncorrected) = -0.984 eV/atom; E = -27.8 eV for the cell shown; spin magnetization = 0.000 μB/f.u.; ρ = 3.41 g cm⁻³; energy above the most stable polymorph in this dataset = 15 meV/atom
1.0
4.452 0.000 0.000
0.000 6.245 0.000
0.000 0.000 8.972
Mg Te S
4 3 1
direct
0.000 0.982 0.726
0.500 0.485 0.000
0.000 0.982 0.274
0.500 0.546 0.500
0.500 0.251 0.736
0.000 0.755 0.000
0.500 0.251 0.264
0.000 0.748 0.500


Q: Which formula does entry 4 have?
A: Mg5Te4S